{
  "formula": "MnZnCu2S4",
  "functional": "GGA-PBE",
  "state": "relaxed",
  "cell": [[-0.7320, 2.3491, 4.7166], [0.6714, -4.6814, 2.4359], [5.2195, 2.0904, -3.2323]],
  "species": ["Mn", "Zn", "Cu", "Cu", "S", "S", "S", "S"],
  "fractional_positions": [[0.5000, 0.5000, 0.0001], [0.0001, 0.0001, 0.0001], [0.7500, 0.2500, 0.5001], [0.2500, 0.7500, 0.5001], [0.6152, 0.6152, 0.7460], [0.3848, 0.8693, 0.2542], [0.8693, 0.3848, 0.2542], [0.1307, 0.1307, 0.7460]],
  "vol_a3_per_cell": 149.5,
  "crystal_system": "tetragonal",
  "e_form_raw_mev_per_atom": -462
}